No. 1
A geometry-optimized MnCuS3 structure, computed with PBE.

Lattice parameters (Å, degrees): 4.7871 4.7871 4.7871 87.66 87.66 87.66
With the nearest neighbours (Å) after each atom.
Element x y z (fractional)
Mn  0.0000  0.0000  0.0000  3 S 2.21
Cu  0.6668  0.6668  0.6668  3 S 2.20
S  0.4607  0.9597  0.9597  1 Cu 2.20, 1 Mn 2.21
S  0.9597  0.4607  0.9597  1 Cu 2.20, 1 Mn 2.21
S  0.9597  0.9597  0.4607  1 Cu 2.20, 1 Mn 2.21

The volume comes out at 21.9 Å³ per atom. As for the space group: No. 160. The theoretical density is 3.26 Mg/m³. As for the energy above the most stable polymorph in this dataset: 301 meV per atom. As for the energy: -5.045 eV/atom. Its uncorrected formation energy is 0.08 eV per atom.


No. 2
A geometry-optimized Mn2CuS4 structure, computed with PBE.

Lattice parameters (Å, degrees): 6.8606 6.8606 6.8606 60.00 60.00 60.00
With the nearest neighbours (Å) after each atom.
Element x y z (fractional)
Mn  0.0000  0.0000  0.0000  6 S 2.34
Mn  0.0000  0.0000  0.5000  6 S 2.34
Mn  0.0000  0.5000  0.0000  6 S 2.34
Mn  0.5000  0.0000  0.0000  6 S 2.34
Cu  0.3750  0.3750  0.3750  4 S 2.25
Cu  0.6250  0.6250  0.6250  4 S 2.25
S  0.2225  0.7592  0.7592  1 Cu 2.25, 3 Mn 2.34
S  0.2408  0.2408  0.2408  1 Cu 2.25, 3 Mn 2.34
S  0.2408  0.2408  0.7775  1 Cu 2.25, 3 Mn 2.34
S  0.2408  0.7775  0.2408  1 Cu 2.25, 3 Mn 2.34
S  0.7592  0.2225  0.7592  1 Cu 2.25, 3 Mn 2.34
S  0.7592  0.7592  0.2225  1 Cu 2.25, 3 Mn 2.34
S  0.7592  0.7592  0.7592  1 Cu 2.25, 3 Mn 2.34
S  0.7775  0.2408  0.2408  1 Cu 2.25, 3 Mn 2.34

The volume comes out at 16.3 Å³ per atom. As for the space group: No. 227. The theoretical density is 4.39 Mg/m³. As for the energy: -6.120 eV/atom. Its uncorrected formation energy is -0.56 eV per atom.


No. 3
A geometry-optimized MnCu5S5 structure, computed with PBE.

Lattice parameters (Å, degrees): 6.0986 6.0986 6.9743 108.20 108.20 46.23
With the nearest neighbours (Å) after each atom.
Element x y z (fractional)
Mn  0.0000  0.0000  0.0000  6 S 2.38-2.54
Cu  0.0000  0.0000  0.5000  2 S 2.18
Cu  0.3328  0.3328  0.6765  5 S 2.39-2.62
Cu  0.3529  0.3529  0.1965  4 S 2.34-2.48
Cu  0.6471  0.6471  0.8035  4 S 2.34-2.48
Cu  0.6672  0.6672  0.3235  5 S 2.39-2.62
S  0.1394  0.1394  0.8075  3 Cu 2.18-2.40, 1 Mn 2.38
S  0.1880  0.1880  0.3311  4 Cu 2.34-2.40, 1 Mn 2.54
S  0.5000  0.5000  0.0000  2 Mn 2.39, 4 Cu 2.39-2.48
S  0.8120  0.8120  0.6689  4 Cu 2.34-2.40, 1 Mn 2.54
S  0.8606  0.8606  0.1925  3 Cu 2.18-2.40, 1 Mn 2.38

The volume comes out at 16.0 Å³ per atom. As for the space group: No. 12. The theoretical density is 5.02 Mg/m³. As for the energy: -4.715 eV/atom. Its uncorrected formation energy is -0.14 eV per atom.